1.
6
Lattice="0.000 3.860 3.860 3.860 0.000 3.860 3.860 3.860 0.000" Properties=species:S:1:pos:R:3 comment="CeScAl4 PBEsol relaxed" space_group=F-43m vol_a3_per_cell=115.0 formation_energy_kcal_per_mol_atoms=-9.34 pbc="T T T"
Ce 0.000 0.000 0.000
Sc 5.790 5.790 5.790
Al 2.893 2.893 2.893
Al 4.827 4.827 2.893
Al 4.827 2.893 4.827
Al 2.893 4.827 4.827

2.
8
Lattice="4.110 0.000 0.000 -2.055 3.559 0.000 0.000 0.000 10.747" Properties=species:S:1:pos:R:3 comment="CeAlSi2 PBEsol relaxed" space_group=P-3m1 vol_a3_per_cell=157.2 e_form_raw_mev_per_atom=-486.7 pbc="T T T"
Ce 0.000 0.000 1.920
Ce 0.000 0.000 8.827
Al 0.000 2.373 6.302
Al 2.055 1.186 4.444
Si 0.000 2.373 3.744
Si 0.000 2.373 10.713
Si 2.055 1.186 0.034
Si 2.055 1.186 7.003

3.
46
Lattice="0.000 7.288 7.288 7.288 0.000 7.288 7.288 7.288 0.000" Properties=species:S:1:pos:R:3 comment="CeTi2Al20 PBEsol relaxed" space_group=Fd-3m vol_a3_per_cell=774.2 formation_energy_kcal_per_mol_atoms=-5.91 pbc="T T T"
Ce 1.822 1.822 1.822
Ce 12.754 12.754 12.754
Ti 7.288 3.644 3.644
Ti 3.644 7.288 3.644
Ti 3.644 3.644 7.288
Ti 7.288 7.288 7.288
Al 0.000 0.000 0.000
Al 3.644 3.644 0.000
Al 3.644 0.000 3.644
Al 4.730 2.778 2.778
Al 8.154 6.202 2.778
Al 8.154 2.778 6.202
Al 9.846 6.422 6.422
Al 11.798 8.374 6.422
Al 11.798 6.422 8.374
Al 5.466 5.466 3.458
Al 5.466 3.458 5.466
Al 7.474 5.466 5.466
Al 2.778 4.730 2.778
Al 6.202 8.154 2.778
Al 2.778 2.778 4.730
Al 8.154 8.154 4.730
Al 6.202 2.778 8.154
Al 8.154 4.730 8.154
Al 9.110 9.110 7.102
Al 9.110 7.102 9.110
Al 11.118 9.110 9.110
Al 0.000 3.644 3.644
Al 3.458 5.466 5.466
Al 5.466 7.474 5.466
Al 5.466 5.466 7.474
Al 6.422 9.846 6.422
Al 8.374 11.798 6.422
Al 6.422 6.422 9.846
Al 11.798 11.798 9.846
Al 8.374 6.422 11.798
Al 11.798 9.846 11.798
Al 7.102 9.110 9.110
Al 9.110 11.118 9.110
Al 9.110 9.110 11.118
Al 2.778 8.154 6.202
Al 2.778 6.202 8.154
Al 4.730 8.154 8.154
Al 6.422 11.798 8.374
Al 6.422 8.374 11.798
Al 9.846 11.798 11.798

4.
46
Lattice="0.000 7.209 7.209 7.209 0.000 7.209 7.209 7.209 0.000" Properties=species:S:1:pos:R:3 comment="CeAl20V2 PBEsol relaxed" space_group=Fd-3m vol_a3_per_cell=749.3 formation_energy_kcal_per_mol_atoms=-5.13 pbc="T T T"
Ce 1.802 1.802 1.802
Ce 12.616 12.616 12.616
Al 0.000 0.000 0.000
Al 3.604 3.604 0.000
Al 3.604 0.000 3.604
Al 4.688 2.753 2.753
Al 8.060 6.125 2.753
Al 8.060 2.753 6.125
Al 9.730 6.358 6.358
Al 11.665 8.293 6.358
Al 11.665 6.358 8.293
Al 5.407 5.407 3.424
Al 5.407 3.424 5.407
Al 7.390 5.407 5.407
Al 2.753 4.688 2.753
Al 6.125 8.060 2.753
Al 2.753 2.753 4.688
Al 8.060 8.060 4.688
Al 6.125 2.753 8.060
Al 8.060 4.688 8.060
Al 9.011 9.011 7.028
Al 9.011 7.028 9.011
Al 10.994 9.011 9.011
Al 0.000 3.604 3.604
Al 3.424 5.407 5.407
Al 5.407 7.390 5.407
Al 5.407 5.407 7.390
Al 6.358 9.730 6.358
Al 8.293 11.665 6.358
Al 6.358 6.358 9.730
Al 11.665 11.665 9.730
Al 8.293 6.358 11.665
Al 11.665 9.730 11.665
Al 7.028 9.011 9.011
Al 9.011 10.994 9.011
Al 9.011 9.011 10.994
Al 2.753 8.060 6.125
Al 2.753 6.125 8.060
Al 4.688 8.060 8.060
Al 6.358 11.665 8.293
Al 6.358 8.293 11.665
Al 9.730 11.665 11.665
V 7.209 3.604 3.604
V 3.604 7.209 3.604
V 3.604 3.604 7.209
V 7.209 7.209 7.209

5.
6
Lattice="0.000 3.923 3.923 3.923 0.000 3.923 3.923 3.923 0.000" Properties=species:S:1:pos:R:3 comment="CeYAl4 PBEsol relaxed" space_group=F-43m vol_a3_per_cell=120.8 formation_energy_kcal_per_mol_atoms=-10.50 pbc="T T T"
Ce 0.000 0.000 0.000
Y 5.885 5.885 5.885
Al 2.938 2.938 2.938
Al 4.908 4.908 2.938
Al 4.908 2.938 4.908
Al 2.938 4.908 4.908

6.
4
Lattice="4.275 0.000 0.000 0.000 4.275 0.000 0.000 0.000 4.275" Properties=species:S:1:pos:R:3 comment="Al3Cl PBEsol relaxed" space_group=Pm-3m vol_a3_per_cell=78.1 e_form_raw_mev_per_atom=239.8 pbc="T T T"
Al 0.000 0.000 2.137
Al 0.000 2.137 0.000
Al 2.137 0.000 0.000
Cl 2.137 2.137 2.137

7.
8
Lattice="2.890 0.000 0.000 0.000 11.345 0.000 0.000 0.000 4.702" Properties=species:S:1:pos:R:3 comment="Al3Cl PBEsol relaxed" space_group=Imm2 vol_a3_per_cell=154.2 e_form_raw_mev_per_atom=-69.2 pbc="T T T"
Al 0.000 0.000 0.000
Al 0.000 3.333 1.676
Al 0.000 8.012 1.676
Al 1.445 2.339 4.027
Al 1.445 5.673 2.351
Al 1.445 9.006 4.027
Cl 0.000 5.673 4.252
Cl 1.445 0.000 1.901

8.
8
Lattice="4.427 0.000 0.000 0.000 4.427 0.000 0.000 0.000 7.523" Properties=species:S:1:pos:R:3 comment="Al3Cl PBEsol relaxed" space_group=I4/mmm vol_a3_per_cell=147.5 e_form_raw_mev_per_atom=134.7 pbc="T T T"
Al 0.000 0.000 0.000
Al 0.000 2.214 1.881
Al 0.000 2.214 5.642
Al 2.214 0.000 1.881
Al 2.214 0.000 5.642
Al 2.214 2.214 3.762
Cl 0.000 0.000 3.762
Cl 2.214 2.214 0.000

Computed Fermi-level density of states, in the same sequence as the records: 1.15 1.02 0.42 0.41 1.21 0.51 0.35 0.31 states/eV per atom.